# 1
TmFeP after structural relaxation, computed with PBE.

Properties
**E_form**: -0.93 eV per atom

a = 6.6585 Å, b = 3.7782 Å, c = 11.3866 Å
α = 90.00°, β = 91.11°, γ = 90.00°
Atoms (fractional coordinates):
Tm  0.0222  0.2500  0.3801
Tm  0.1493  0.2500  0.0827
Tm  0.4758  0.7500  0.7151
Tm  0.5242  0.2500  0.2849
Tm  0.8507  0.7500  0.9173
Tm  0.9778  0.7500  0.6199
Fe  0.1555  0.2500  0.7979
Fe  0.3718  0.7500  0.4649
Fe  0.4950  0.2500  0.9281
Fe  0.5050  0.7500  0.0719
Fe  0.6282  0.2500  0.5351
Fe  0.8445  0.7500  0.2021
P  0.2238  0.7500  0.2547
P  0.2627  0.7500  0.9160
P  0.2756  0.2500  0.5798
P  0.7244  0.7500  0.4202
P  0.7373  0.2500  0.0840
P  0.7762  0.2500  0.7453

---

# 2
TmFe4P12 after structural relaxation, computed with PBE.

Properties
**E_form**: -0.58 eV per atom

a = 6.7273 Å, b = 6.7273 Å, c = 6.7273 Å
α = 109.47°, β = 109.47°, γ = 109.47°
Atoms (fractional coordinates):
Tm  0.0000  0.0000  0.0000
Fe  0.0000  0.0000  0.5000
Fe  0.0000  0.5000  0.0000
Fe  0.5000  0.0000  0.0000
Fe  0.5000  0.5000  0.5000
P  0.1502  0.5020  0.3517
P  0.1502  0.7985  0.6483
P  0.2015  0.3517  0.8498
P  0.3517  0.1502  0.5020
P  0.3517  0.8498  0.2015
P  0.4980  0.6483  0.8498
P  0.5020  0.3517  0.1502
P  0.6483  0.1502  0.7985
P  0.6483  0.8498  0.4980
P  0.7985  0.6483  0.1502
P  0.8498  0.2015  0.3517
P  0.8498  0.4980  0.6483

---

# 3
TmFe4P2 after structural relaxation, computed with PBE.

Properties
**E_form**: -0.70 eV per atom

a = 6.9779 Å, b = 6.9779 Å, c = 3.6138 Å
α = 90.00°, β = 90.00°, γ = 90.00°
Atoms (fractional coordinates):
Tm  0.0000  0.0000  0.0000
Tm  0.5000  0.5000  0.5000
Fe  0.0826  0.3415  0.5000
Fe  0.1585  0.5826  0.0000
Fe  0.3415  0.0826  0.5000
Fe  0.4174  0.8415  0.0000
Fe  0.5826  0.1585  0.0000
Fe  0.6585  0.9174  0.5000
Fe  0.8415  0.4174  0.0000
Fe  0.9174  0.6585  0.5000
P  0.2197  0.7803  0.5000
P  0.2803  0.2803  0.0000
P  0.7197  0.7197  0.0000
P  0.7803  0.2197  0.5000

---

# 4
Tm2Fe12P7 after structural relaxation, computed with PBE.

Properties
**E_form**: -0.73 eV per atom

a = 8.9302 Å, b = 8.9302 Å, c = 3.6241 Å
α = 90.00°, β = 90.00°, γ = 120.00°
Atoms (fractional coordinates):
Tm  0.0000  0.0000  0.0000
Tm  0.3333  0.6667  0.5000
Fe  0.0381  0.7607  0.5000
Fe  0.0993  0.3816  0.0000
Fe  0.2393  0.2774  0.5000
Fe  0.2823  0.9007  0.0000
Fe  0.4515  0.2382  0.0000
Fe  0.5098  0.0577  0.5000
Fe  0.5479  0.4902  0.5000
Fe  0.6184  0.7177  0.0000
Fe  0.7226  0.9619  0.5000
Fe  0.7618  0.2134  0.0000
Fe  0.7866  0.5485  0.0000
Fe  0.9423  0.4521  0.5000
P  0.0695  0.6227  0.0000
P  0.2543  0.0367  0.5000
P  0.3773  0.4468  0.0000
P  0.5532  0.9305  0.0000
P  0.6667  0.3333  0.5000
P  0.7823  0.7457  0.5000
P  0.9633  0.2177  0.5000

---

| no. | ρ (g/cm³) |
| --- | --- |
| 1 | 8.9 |
| 2 | 5.4 |
| 3 | 8.6 |
| 4 | 8.1 |